# 1
# Sc2TaPdPt5 | Alexandria via LeMat-Bulk | PBE | relaxed
# E_form in kJ/mol of formula units: -344.6
# Spin magnetization in μB/atom: 0.000
# E_tot in eV/atom: -7.05
# Density of states at the Fermi level in states/eV/cell: 10.5
data_Sc2TaPdPt5
_chemical_formula_sum 'Sc4 Ta2 Pd2 Pt10'
_cell_length_a 7.6268
_cell_length_b 7.6268
_cell_length_c 7.6784
_cell_angle_alpha 119.78
_cell_angle_beta 119.78
_cell_angle_gamma 90.00
_space_group_name_H-M_alt 'P 1'
_space_group_IT_number 1
_space_group_name_Hall 'P 1'
loop_
_atom_site_label
_atom_site_type_symbol
_atom_site_fract_x
_atom_site_fract_y
_atom_site_fract_z
_atom_site_occupancy
Pt1 Pt 0.0000 0.0000 0.0000 1
Pt2 Pt 0.9262 0.4262 0.2693 1
Pt3 Pt 0.6570 0.1570 0.7307 1
Pt4 Pt 0.1570 0.0738 0.7307 1
Pt5 Pt 0.5738 0.6570 0.7307 1
Pt6 Pt 0.4262 0.3430 0.2693 1
Pt7 Pt 0.5000 0.5000 0.0000 1
Pt8 Pt 0.8430 0.9262 0.2693 1
Pt9 Pt 0.0738 0.5738 0.7307 1
Pt10 Pt 0.3430 0.8430 0.2693 1
Sc1 Sc 0.6161 0.1161 0.0000 1
Sc2 Sc 0.8839 0.6161 0.0000 1
Sc3 Sc 0.3839 0.8839 0.0000 1
Sc4 Sc 0.1161 0.3839 0.0000 1
Ta1 Ta 0.7500 0.7500 0.5000 1
Ta2 Ta 0.2500 0.2500 0.5000 1
Pd1 Pd 0.7500 0.2500 0.5000 1
Pd2 Pd 0.2500 0.7500 0.5000 1

# 2
# PmSiPt | Alexandria via LeMat-Bulk | PBE | relaxed
# Spin magnetization in μB/atom: 0.000
# Energy above the most stable polymorph in this dataset in eV per formula unit: 0.007
# E_tot in eV/atom: -6.52
# Density of states at the Fermi level in states/eV/cell: 2.0
# Formation energy (no corrections) in eV/atom: -1.1146
data_PmSiPt
_chemical_formula_sum 'Pm1 Si1 Pt1'
_cell_length_a 4.2421
_cell_length_b 4.1739
_cell_length_c 4.1739
_cell_angle_alpha 120.00
_cell_angle_beta 90.00
_cell_angle_gamma 90.00
_space_group_name_H-M_alt 'P 1'
_space_group_IT_number 1
_space_group_name_Hall 'P 1'
loop_
_atom_site_label
_atom_site_type_symbol
_atom_site_fract_x
_atom_site_fract_y
_atom_site_fract_z
_atom_site_occupancy
Pt1 Pt 0.1668 0.3333 0.6667 1
Pm1 Pm 0.6667 0.6667 0.3333 1
Si1 Si 0.1665 0.0000 0.0000 1

# 3
# Ce2Mg3Au4 | Alexandria via LeMat-Bulk | PBE | relaxed
# E_form in kJ/mol of formula units: -482.9
# Spin magnetization in μB/atom: 0.212
# E_tot in eV/atom: -3.86
# Density of states at the Fermi level in states/eV/cell: 32.6
data_Ce2Mg3Au4
_chemical_formula_sum 'Ce4 Mg6 Au8'
_cell_length_a 6.1818
_cell_length_b 7.9967
_cell_length_c 8.6776
_cell_angle_alpha 90.00
_cell_angle_beta 110.87
_cell_angle_gamma 90.00
_space_group_name_H-M_alt 'P 1'
_space_group_IT_number 1
_space_group_name_Hall 'P 1'
loop_
_atom_site_label
_atom_site_type_symbol
_atom_site_fract_x
_atom_site_fract_y
_atom_site_fract_z
_atom_site_occupancy
Ce1 Ce 0.6074 0.9101 0.2149 1
Ce2 Ce 0.1074 0.5899 0.2149 1
Ce3 Ce 0.8926 0.4101 0.7851 1
Ce4 Ce 0.3926 0.0899 0.7851 1
Au1 Au 0.8206 0.0407 0.6413 1
Au2 Au 0.3008 0.2500 0.1015 1
Au3 Au 0.8008 0.2500 0.1015 1
Au4 Au 0.6992 0.7500 0.8985 1
Au5 Au 0.1992 0.7500 0.8985 1
Au6 Au 0.1794 0.9593 0.3587 1
Au7 Au 0.6794 0.5407 0.3587 1
Au8 Au 0.3206 0.4593 0.6413 1
Mg1 Mg 0.4705 0.2500 0.4410 1
Mg2 Mg 0.9705 0.2500 0.4410 1
Mg3 Mg 0.0000 0.0000 0.0000 1
Mg4 Mg 0.0295 0.7500 0.5590 1
Mg5 Mg 0.5000 0.5000 0.0000 1
Mg6 Mg 0.5295 0.7500 0.5590 1

# 4
# La2ZrCr | Alexandria via LeMat-Bulk | PBE | relaxed
# E_form in kJ/mol of formula units: 154.0
# Spin magnetization in μB/atom: 0.704
# Energy above the most stable polymorph in this dataset in eV per formula unit: 0.448
# E_tot in eV/atom: -6.61
# Density of states at the Fermi level in states/eV/cell: 4.1
data_La2ZrCr
_chemical_formula_sum 'La2 Zr1 Cr1'
_cell_length_a 5.3486
_cell_length_b 5.3506
_cell_length_c 3.8328
_cell_angle_alpha 90.00
_cell_angle_beta 90.00
_cell_angle_gamma 90.00
_space_group_name_H-M_alt 'P 1'
_space_group_IT_number 1
_space_group_name_Hall 'P 1'
loop_
_atom_site_label
_atom_site_type_symbol
_atom_site_fract_x
_atom_site_fract_y
_atom_site_fract_z
_atom_site_occupancy
La1 La 0.5000 0.5000 0.0000 1
La2 La 0.0000 0.0000 0.0000 1
Cr1 Cr 0.0000 0.5000 0.5000 1
Zr1 Zr 0.5000 0.0000 0.5000 1

# 5
# CaEr2Lu | Alexandria via LeMat-Bulk | PBE | relaxed
# E_form in kJ/mol of formula units: 62.1
# Spin magnetization in μB/atom: 0.000
# Energy above the most stable polymorph in this dataset in eV per formula unit: 0.301
# E_tot in eV/atom: -3.75
# Density of states at the Fermi level in states/eV/cell: 7.4
data_CaEr2Lu
_chemical_formula_sum 'Ca1 Er2 Lu1'
_cell_length_a 5.0179
_cell_length_b 5.0569
_cell_length_c 5.0569
_cell_angle_alpha 90.00
_cell_angle_beta 90.00
_cell_angle_gamma 90.00
_space_group_name_H-M_alt 'P 1'
_space_group_IT_number 1
_space_group_name_Hall 'P 1'
loop_
_atom_site_label
_atom_site_type_symbol
_atom_site_fract_x
_atom_site_fract_y
_atom_site_fract_z
_atom_site_occupancy
Er1 Er 0.0000 0.0000 0.5000 1
Er2 Er 0.0000 0.5000 0.0000 1
Ca1 Ca 0.5000 0.5000 0.5000 1
Lu1 Lu 0.5000 0.0000 0.0000 1

# 6
# Ni2MoBr | Alexandria via LeMat-Bulk | PBE | relaxed
# Spin magnetization in μB/atom: 0.000
# Energy above the most stable polymorph in this dataset in eV per formula unit: 0.087
# E_tot in eV/atom: -5.66
# Density of states at the Fermi level in states/eV/cell: 3.1
# Formation energy (no corrections) in eV/atom: 0.3542
data_Ni2MoBr
_chemical_formula_sum 'Ni2 Mo1 Br1'
_cell_length_a 2.7838
_cell_length_b 2.8773
_cell_length_c 7.7892
_cell_angle_alpha 89.79
_cell_angle_beta 90.00
_cell_angle_gamma 90.00
_space_group_name_H-M_alt 'P 1'
_space_group_IT_number 1
_space_group_name_Hall 'P 1'
loop_
_atom_site_label
_atom_site_type_symbol
_atom_site_fract_x
_atom_site_fract_y
_atom_site_fract_z
_atom_site_occupancy
Ni1 Ni 0.0000 0.2526 0.5315 1
Ni2 Ni 0.0000 0.2474 0.9685 1
Br1 Br 0.5000 0.2500 0.2500 1
Mo1 Mo 0.5000 0.7500 0.7500 1

# 7
# RbBF3 | Alexandria via LeMat-Bulk | PBE | relaxed
# Spin magnetization in μB/atom: 0.000
# Energy above the most stable polymorph in this dataset in eV per formula unit: 6.021
# E_tot in eV/atom: -4.14
# Density of states at the Fermi level in states/eV/cell: 0.9
# Formation energy (no corrections) in eV/atom: -1.4894
data_RbBF3
_chemical_formula_sum 'Rb1 B1 F3'
_cell_length_a 3.9658
_cell_length_b 3.9658
_cell_length_c 3.9658
_cell_angle_alpha 90.00
_cell_angle_beta 90.00
_cell_angle_gamma 90.00
_space_group_name_H-M_alt 'P 1'
_space_group_IT_number 1
_space_group_name_Hall 'P 1'
loop_
_atom_site_label
_atom_site_type_symbol
_atom_site_fract_x
_atom_site_fract_y
_atom_site_fract_z
_atom_site_occupancy
B1 B 0.0000 0.0000 0.0000 1
Rb1 Rb 0.5000 0.5000 0.5000 1
F1 F 0.5000 0.0000 0.0000 1
F2 F 0.0000 0.5000 0.0000 1
F3 F 0.0000 0.0000 0.5000 1

# 8
# RbTe3P | Alexandria via LeMat-Bulk | PBE | relaxed
# Spin magnetization in μB/atom: 0.000
# Energy above the most stable polymorph in this dataset in eV per formula unit: 9.537
# E_tot in eV/atom: -1.55
# Density of states at the Fermi level in states/eV/cell: 12.3
# Formation energy (no corrections) in eV/atom: 1.6128
data_RbTe3P
_chemical_formula_sum 'Rb1 Te3 P1'
_cell_length_a 6.1974
_cell_length_b 6.1974
_cell_length_c 6.1974
_cell_angle_alpha 90.00
_cell_angle_beta 90.00
_cell_angle_gamma 90.00
_space_group_name_H-M_alt 'P 1'
_space_group_IT_number 1
_space_group_name_Hall 'P 1'
loop_
_atom_site_label
_atom_site_type_symbol
_atom_site_fract_x
_atom_site_fract_y
_atom_site_fract_z
_atom_site_occupancy
Te1 Te 0.0000 0.0000 0.5000 1
Te2 Te 0.5000 0.0000 0.0000 1
Te3 Te 0.0000 0.5000 0.0000 1
Rb1 Rb 0.0000 0.0000 0.0000 1
P1 P 0.5000 0.5000 0.5000 1

- The highest density of states at the Fermi level belongs to which entry?
  Ce2Mg3Au4

- What is the E_tot in the second record?
  -6.52 eV/atom

- Number 2 is which compound?
  PmSiPt